1.
Here is crystalline AlTlMo2 at its relaxed geometry from Alexandria via LeMat-Bulk. Energies are from PBE-GGA.

a = 5.324 Å, b = 5.324 Å, c = 5.324 Å
α = 143.05°, β = 128.67°, γ = 64.92°
Sites, in units of the cell vectors:
Tl 0.502 0.502 0.000
Mo 0.992 0.992 0.000
Mo 0.770 0.270 0.500
Al 0.236 0.736 0.500

Calculated values
Fermi-level density of states = 2.79 states/eV/cell
crystal system = orthorhombic
size of the total moment = 0.0 Bohr magnetons per cell
energy of formation from the pure elements = 0.382 eV/atom
E above lowest polymorph = 166 meV per atom
symmetry = Imm2 (44)
ρ = 10.05 g cm⁻³
DFT total energy = -26.2 eV per cell

---

2.
Here is crystalline Al2TlMo at its relaxed geometry from Alexandria via LeMat-Bulk. Energies are from PBE-GGA.

a = 4.825 Å, b = 2.937 Å, c = 5.008 Å
α = 90.01°, β = 90.00°, γ = 90.00°
Sites, in units of the cell vectors:
Tl 0.500 0.875 0.727
Mo 0.000 0.375 0.500
Al 0.000 0.875 0.040
Al 0.500 0.375 0.233

Calculated values
Fermi-level density of states = 1.26 states/eV/cell
crystal system = orthorhombic
size of the total moment = 0.0 Bohr magnetons per cell
energy of formation from the pure elements = 0.248 eV/atom
E above lowest polymorph = 130 meV per atom
symmetry = Pmm2 (25)
ρ = 8.29 g cm⁻³
DFT total energy = -19.7 eV per cell

---

3.
Here is crystalline Tm6Al43Mo4 at its relaxed geometry from Alexandria via LeMat-Bulk. Energies are from PBE-GGA.

a = 10.990 Å, b = 10.990 Å, c = 17.593 Å
α = 90.00°, β = 90.00°, γ = 120.00°
Sites, in units of the cell vectors:
Tm 0.531 0.531 0.595
Tm 0.000 0.469 0.595
Tm 0.469 0.000 0.595
Tm 0.469 0.469 0.405
Tm 0.000 0.531 0.405
Tm 0.531 0.000 0.405
Tm 0.469 0.469 0.095
Tm 0.000 0.531 0.095
Tm 0.531 0.000 0.095
Tm 0.531 0.531 0.905
Tm 0.000 0.469 0.905
Tm 0.469 0.000 0.905
Al 0.763 0.158 0.663
Al 0.394 0.237 0.663
Al 0.842 0.606 0.663
Al 0.158 0.763 0.663
Al 0.237 0.394 0.663
Al 0.606 0.842 0.663
Al 0.237 0.842 0.337
Al 0.606 0.763 0.337
Al 0.158 0.394 0.337
Al 0.842 0.237 0.337
Al 0.763 0.606 0.337
Al 0.394 0.158 0.337
Al 0.237 0.842 0.163
Al 0.606 0.763 0.163
Al 0.158 0.394 0.163
Al 0.842 0.237 0.163
Al 0.763 0.606 0.163
Al 0.394 0.158 0.163
Al 0.763 0.158 0.837
Al 0.394 0.237 0.837
Al 0.842 0.606 0.837
Al 0.158 0.763 0.837
Al 0.237 0.394 0.837
Al 0.606 0.842 0.837
Al 0.159 0.159 0.115
Al 0.000 0.841 0.115
Al 0.841 0.000 0.115
Al 0.841 0.841 0.885
Al 0.000 0.159 0.885
Al 0.159 0.000 0.885
Al 0.841 0.841 0.615
Al 0.000 0.159 0.615
Al 0.159 0.000 0.615
Al 0.159 0.159 0.385
Al 0.000 0.841 0.385
Al 0.841 0.000 0.385
Al 0.254 0.254 0.531
Al 0.000 0.746 0.531
Al 0.746 0.000 0.531
Al 0.746 0.746 0.469
Al 0.000 0.254 0.469
Al 0.254 0.000 0.469
Al 0.746 0.746 0.031
Al 0.000 0.254 0.031
Al 0.254 0.000 0.031
Al 0.254 0.254 0.969
Al 0.000 0.746 0.969
Al 0.746 0.000 0.969
Al 0.552 0.147 0.750
Al 0.595 0.448 0.750
Al 0.853 0.405 0.750
Al 0.147 0.552 0.750
Al 0.448 0.595 0.750
Al 0.405 0.853 0.750
Al 0.448 0.853 0.250
Al 0.405 0.552 0.250
Al 0.147 0.595 0.250
Al 0.853 0.448 0.250
Al 0.552 0.405 0.250
Al 0.595 0.147 0.250
Al 0.754 0.246 0.500
Al 0.493 0.246 0.500
Al 0.754 0.507 0.500
Al 0.246 0.754 0.500
Al 0.246 0.493 0.500
Al 0.507 0.754 0.500
Al 0.246 0.754 0.000
Al 0.507 0.754 0.000
Al 0.246 0.493 0.000
Al 0.754 0.246 0.000
Al 0.754 0.507 0.000
Al 0.493 0.246 0.000
Al 0.667 0.333 0.625
Al 0.333 0.667 0.625
Al 0.333 0.667 0.375
Al 0.667 0.333 0.375
Al 0.333 0.667 0.125
Al 0.667 0.333 0.125
Al 0.667 0.333 0.875
Al 0.333 0.667 0.875
Al 0.147 0.147 0.750
Al 0.000 0.853 0.750
Al 0.853 0.000 0.750
Al 0.853 0.853 0.250
Al 0.000 0.147 0.250
Al 0.147 0.000 0.250
Mo 0.729 0.729 0.750
Mo 0.000 0.271 0.750
Mo 0.271 0.000 0.750
Mo 0.271 0.271 0.250
Mo 0.000 0.729 0.250
Mo 0.729 0.000 0.250
Mo 0.000 0.000 0.500
Mo 0.000 0.000 0.000

Calculated values
Fermi-level density of states = 37.50 states/eV/cell
crystal system = hexagonal
size of the total moment = 0.0 Bohr magnetons per cell
energy of formation from the pure elements = -0.313 eV/atom
symmetry = P6_3/mcm (193)
ρ = 4.62 g cm⁻³
DFT total energy = -495.3 eV per cell

---

4.
Here is crystalline TmAl4Mo at its relaxed geometry from Alexandria via LeMat-Bulk. Energies are from PBE-GGA.

a = 5.248 Å, b = 5.248 Å, c = 5.248 Å
α = 60.00°, β = 60.00°, γ = 60.00°
Sites, in units of the cell vectors:
Mo 0.250 0.250 0.250
Tm 0.000 0.000 0.000
Al 0.625 0.625 0.125
Al 0.625 0.125 0.625
Al 0.625 0.625 0.625
Al 0.125 0.625 0.625

Calculated values
Fermi-level density of states = 2.61 states/eV/cell
crystal system = cubic
size of the total moment = 0.0 Bohr magnetons per cell
energy of formation from the pure elements = -0.254 eV/atom
symmetry = F-43m (216)
ρ = 6.06 g cm⁻³
DFT total energy = -31.8 eV per cell

---

5.
Here is crystalline TmAlMo at its relaxed geometry from Alexandria via LeMat-Bulk. Energies are from PBE-GGA.

a = 5.348 Å, b = 5.505 Å, c = 5.505 Å
α = 60.65°, β = 60.94°, γ = 60.94°
Sites, in units of the cell vectors:
Tm 0.881 0.369 0.369
Tm 0.119 0.631 0.631
Al 0.500 0.500 0.000
Al 0.500 0.000 0.500
Mo 0.000 0.000 0.000
Mo 0.500 0.000 0.000

Calculated values
Fermi-level density of states = 4.09 states/eV/cell
crystal system = orthorhombic
size of the total moment = 0.0 Bohr magnetons per cell
energy of formation from the pure elements = -0.297 eV/atom
E above lowest polymorph = 0 meV per atom
symmetry = Imma (74)
ρ = 8.30 g cm⁻³
DFT total energy = -39.9 eV per cell

---

6.
Here is crystalline Tm2Al3Mo at its relaxed geometry from Alexandria via LeMat-Bulk. Energies are from PBE-GGA.

a = 5.538 Å, b = 5.538 Å, c = 5.468 Å
α = 89.99°, β = 120.41°, γ = 120.03°
Sites, in units of the cell vectors:
Tm 0.743 0.371 0.114
Tm 0.257 0.629 0.886
Al 0.500 0.500 0.500
Al 0.000 0.000 0.500
Al 0.500 0.000 0.500
Mo 0.000 0.000 0.000

Calculated values
Fermi-level density of states = 4.95 states/eV/cell
crystal system = trigonal
size of the total moment = 0.0 Bohr magnetons per cell
energy of formation from the pure elements = -0.411 eV/atom
symmetry = R-3m (166)
ρ = 7.26 g cm⁻³
DFT total energy = -33.5 eV per cell

---

7.
Here is crystalline TmAlMo at its relaxed geometry from Alexandria via LeMat-Bulk. Energies are from PBE-GGA.

a = 5.328 Å, b = 5.570 Å, c = 10.111 Å
α = 82.76°, β = 74.72°, γ = 61.42°
Sites, in units of the cell vectors:
Al 0.154 0.500 0.693
Al 0.346 0.500 0.307
Al 0.596 0.000 0.807
Al 0.404 0.000 0.193
Mo 0.623 0.500 0.753
Mo 0.877 0.500 0.247
Mo 0.127 0.000 0.747
Mo 0.873 0.000 0.253
Tm 0.908 0.185 0.500
Tm 0.592 0.815 0.500
Tm 0.842 0.315 0.000
Tm 0.158 0.685 0.000

Calculated values
Fermi-level density of states = 9.41 states/eV/cell
crystal system = orthorhombic
size of the total moment = 0.0 Bohr magnetons per cell
energy of formation from the pure elements = 0.131 eV/atom
E above lowest polymorph = 428 meV per atom
symmetry = Fddd (70)
ρ = 7.63 g cm⁻³
DFT total energy = -74.6 eV per cell

---

8.
Here is crystalline TmAl2Mo at its relaxed geometry from Alexandria via LeMat-Bulk. Energies are from PBE-GGA.

a = 3.013 Å, b = 3.013 Å, c = 9.766 Å
α = 81.13°, β = 81.13°, γ = 60.00°
Sites, in units of the cell vectors:
Mo 0.000 0.000 0.000
Tm 0.500 0.500 0.500
Al 0.740 0.740 0.779
Al 0.260 0.260 0.221

Calculated values
Fermi-level density of states = 1.95 states/eV/cell
crystal system = trigonal
size of the total moment = 0.0 Bohr magnetons per cell
energy of formation from the pure elements = 0.057 eV/atom
symmetry = R-3m (166)
ρ = 7.01 g cm⁻³
DFT total energy = -22.6 eV per cell